# 1
A crystal of Tl2CrBiIr relaxed with PBEsol, computed with SCAN.

a b c (Å): 5.157 5.157 5.367
angles (deg): 90.00 90.00 90.00
Sites, in units of the cell vectors:
Tl  0.000  0.500  0.000
Tl  0.500  0.000  0.000
Cr  0.000  0.000  0.500
Bi  0.500  0.500  0.500
Ir  0.500  0.500  0.000

Calculated values
Calculated volume = 28.5 Å³/atom
E_tot = -61.995 eV/atom
Symmetry = P4/mmm, No. 123
Magnetic moment = 5.15 μB/f.u.


# 2
A crystal of CrBi2IrW relaxed with PBEsol, computed with SCAN.

a b c (Å): 5.209 5.209 4.614
angles (deg): 90.00 90.00 90.00
Sites, in units of the cell vectors:
Cr  0.000  0.000  0.000
Bi  0.000  0.500  0.500
Bi  0.500  0.000  0.500
Ir  0.000  0.000  0.500
W  0.500  0.500  0.000

Calculated values
Calculated volume = 25.0 Å³/atom
E_tot = -61.705 eV/atom
Symmetry = P4/mmm, No. 123
Magnetic moment = 0.55 μB/f.u.


# 3
A crystal of KCr2BiW relaxed with PBEsol, computed with SCAN.

a b c (Å): 5.272 5.272 6.244
angles (deg): 90.00 90.00 90.00
Sites, in units of the cell vectors:
K  0.000  0.000  0.000
Cr  0.000  0.500  0.500
Cr  0.500  0.000  0.500
Bi  0.000  0.000  0.500
W  0.500  0.500  0.000

Calculated values
Calculated volume = 34.7 Å³/atom
E_tot = -36.691 eV/atom
Symmetry = P4/mmm, No. 123
Magnetic moment = 14.00 μB/f.u.


# 4
A crystal of LaCr3Bi relaxed with PBEsol, computed with SCAN.

a b c (Å): 4.791 4.791 4.791
angles (deg): 90.00 90.00 90.00
Sites, in units of the cell vectors:
La  0.000  0.000  0.000
Cr  0.000  0.000  0.500
Cr  0.000  0.500  0.000
Cr  0.500  0.000  0.000
Bi  0.500  0.500  0.500

Calculated values
Calculated volume = 22.0 Å³/atom
E_tot = -33.779 eV/atom
Symmetry = Pm-3m, No. 221
Magnetic moment = 10.56 μB/f.u.


# 5
A crystal of LaCrBiW2 relaxed with PBEsol, computed with SCAN.

a b c (Å): 4.573 4.573 5.263
angles (deg): 90.00 90.00 90.00
Sites, in units of the cell vectors:
La  0.000  0.000  0.000
Cr  0.000  0.000  0.500
Bi  0.500  0.500  0.000
W  0.000  0.500  0.500
W  0.500  0.000  0.500

Calculated values
Calculated volume = 22.0 Å³/atom
E_tot = -54.821 eV/atom
Symmetry = P4/mmm, No. 123
Magnetic moment = 0.00 μB/f.u.


# 6
A crystal of Li2CrBi2 relaxed with PBEsol, computed with SCAN.

a b c (Å): 5.238 5.238 7.898
angles (deg): 90.00 90.00 90.00
Sites, in units of the cell vectors:
Li  0.000  0.000  0.151
Li  0.000  0.000  0.849
Li  0.500  0.500  0.349
Li  0.500  0.500  0.651
Cr  0.000  0.000  0.500
Cr  0.500  0.500  0.000
Bi  0.000  0.500  0.250
Bi  0.000  0.500  0.750
Bi  0.500  0.000  0.250
Bi  0.500  0.000  0.750

Calculated values
Calculated volume = 21.7 Å³/atom
E_tot = -35.956 eV/atom
Symmetry = I4/mmm, No. 139
Magnetic moment = 4.14 μB/f.u.